{
  "formula": "Dy3ErTe2",
  "functional": "PBE",
  "state": "relaxed",
  "cell": [[8.9056, -1.9512, 0.0000], [8.9056, 1.9512, 0.0000], [-0.0643, 0.0000, 10.2237]],
  "species": ["Dy", "Dy", "Dy", "Dy", "Dy", "Dy", "Er", "Er", "Te", "Te", "Te", "Te"],
  "fractional_positions": [[0.0163, 0.0163, 0.3486], [0.3567, 0.3567, 0.4591], [0.3924, 0.3924, 0.8796], [0.6076, 0.6076, 0.1204], [0.6433, 0.6433, 0.5409], [0.9837, 0.9837, 0.6514], [0.2001, 0.2001, 0.8617], [0.7999, 0.7999, 0.1383], [0.2003, 0.2003, 0.3122], [0.4326, 0.4326, 0.1681], [0.5674, 0.5674, 0.8319], [0.7997, 0.7997, 0.6878]],
  "m_tot_mub_per_cell": 0.01,
  "sg": "C2/m, No. 12",
  "formation_energy_uncorrected_ev_per_atom": -0.758,
  "dos_at_fermi_per_ev_cell": 13.092
}